1.
! Nd3Si2Ge3, optimized geometry, DFT PBE; values from VASP
! theoretical density: 6.4 g cm⁻³
! space-group type: Cmcm (63)
! Fermi-level density of states: 3.637 states/eV/f.u.
! DFT total energy: -88.17 eV per cell
&SYSTEM
  ibrav = 0, nat = 16, ntyp = 3
/
ATOMIC_SPECIES
Si 28.09 Si.upf
Ge 72.64 Ge.upf
Nd 144.24 Nd.upf
CELL_PARAMETERS angstrom
4.114 0.000 0.000
-2.057 5.557 0.000
0.000 0.000 16.115
ATOMIC_POSITIONS angstrom
Si 2.057 3.759 14.070
Si 2.057 3.759 10.102
Ge 2.057 2.175 12.086
Ge 2.057 0.912 7.132
Ge 2.057 0.912 0.925
Ge 0.000 4.646 15.189
Nd 2.057 0.876 4.029
Nd 2.057 4.052 6.634
Ge 0.000 3.383 4.029
Nd 0.000 1.506 9.481
Si 0.000 1.798 6.013
Si 0.000 1.798 2.045
Nd 2.057 4.052 1.423
Ge 0.000 4.646 8.983
Nd 0.000 4.681 12.086
Nd 0.000 1.506 14.691

2.
! Tl4SbAu4, optimized geometry, DFT PBE; values from VASP
! theoretical density: 11.9 g cm⁻³
! space-group type: P4_2/n (86)
! Fermi-level density of states: 2.618 states/eV/f.u.
! DFT total energy: -53.31 eV per cell
&SYSTEM
  ibrav = 0, nat = 18, ntyp = 3
/
ATOMIC_SPECIES
Sb 121.76 Sb.upf
Au 196.97 Au.upf
Tl 204.38 Tl.upf
CELL_PARAMETERS angstrom
4.754 0.000 0.000
0.000 10.070 0.000
0.000 0.000 10.070
ATOMIC_POSITIONS angstrom
Sb 0.000 0.000 0.000
Au 4.329 4.330 6.911
Au 1.952 8.193 9.365
Tl 0.399 8.795 3.470
Au 1.952 1.877 0.705
Au 2.802 9.365 1.877
Tl 2.776 8.505 6.310
Tl 1.978 6.310 1.565
Tl 0.399 1.275 6.600
Tl 1.978 3.760 8.505
Tl 2.776 1.565 3.760
Au 4.329 5.740 3.158
Au 0.425 3.158 4.330
Tl 4.355 3.470 1.275
Au 0.425 6.911 5.740
Tl 4.355 6.600 8.795
Sb 2.377 5.035 5.035
Au 2.802 0.705 8.193

3.
! DyNbCr4, optimized geometry, DFT PBE; values from VASP
! theoretical density: 8.4 g cm⁻³
! calculated formation energy: 0.17 eV per atom
! space-group type: F-43m (216)
! Fermi-level density of states: 7.524 states/eV/f.u.
! DFT total energy: -52.12 eV per cell
&SYSTEM
  ibrav = 0, nat = 6, ntyp = 3
/
ATOMIC_SPECIES
Cr 52.00 Cr.upf
Nb 92.91 Nb.upf
Dy 162.50 Dy.upf
CELL_PARAMETERS angstrom
5.054 0.000 0.000
2.527 4.377 0.000
2.527 1.459 4.127
ATOMIC_POSITIONS angstrom
Cr 6.315 3.646 2.578
Cr 3.793 3.646 2.578
Nb 2.527 1.459 1.032
Cr 5.054 1.462 2.578
Dy 0.000 0.000 0.000
Cr 5.054 2.918 0.519

4.
! Ta2CuMoH, optimized geometry, DFT PBE; values from VASP
! theoretical density: 13.1 g cm⁻³
! space-group type: P4/mmm (123)
! Fermi-level density of states: 2.369 states/eV/f.u.
! DFT total energy: -41.93 eV per cell
&SYSTEM
  ibrav = 0, nat = 5, ntyp = 4
/
ATOMIC_SPECIES
H 1.01 H.upf
Ta 180.95 Ta.upf
Cu 63.55 Cu.upf
Mo 95.94 Mo.upf
CELL_PARAMETERS angstrom
4.377 0.000 0.000
0.000 4.377 0.000
0.000 0.000 3.470
ATOMIC_POSITIONS angstrom
H 0.000 0.000 0.000
Ta 2.188 0.000 0.000
Cu 0.000 0.000 1.735
Ta 0.000 2.188 0.000
Mo 2.188 2.188 1.735

5.
! ErPaSb, optimized geometry, DFT PBE; values from VASP
! theoretical density: 11.3 g cm⁻³
! space-group type: P6_3/mmc (194)
! Fermi-level density of states: 3.589 states/eV/f.u.
! DFT total energy: -78.74 eV per cell
&SYSTEM
  ibrav = 0, nat = 12, ntyp = 3
/
ATOMIC_SPECIES
Er 167.26 Er.upf
Sb 121.76 Sb.upf
Pa 231.04 Pa.upf
CELL_PARAMETERS angstrom
-1.286 2.383 -5.595
-1.990 -4.694 -1.542
-8.343 2.550 3.004
ATOMIC_POSITIONS angstrom
Er -2.709 -1.326 -1.668
Er -5.733 -2.058 -4.737
Sb -3.348 -0.136 -4.467
Pa -0.643 1.191 -2.798
Er -8.910 1.564 -2.465
Sb -6.525 3.486 -2.195
Er -5.886 2.296 0.604
Sb -8.271 0.374 0.334
Sb -5.094 -3.248 -1.938
Pa 0.000 0.000 0.000
Pa -5.166 -1.072 0.731
Pa -5.810 0.119 -2.067

6.
! CsNaTl3Pd, optimized geometry, DFT PBE; values from VASP
! theoretical density: 6.9 g cm⁻³
! calculated formation energy: -0.05 eV per atom
! space-group type: Cmcm (63)
! Fermi-level density of states: 2.919 states/eV/f.u.
! DFT total energy: -29.53 eV per cell
&SYSTEM
  ibrav = 0, nat = 12, ntyp = 4
/
ATOMIC_SPECIES
Na 22.99 Na.upf
Tl 204.38 Tl.upf
Pd 106.42 Pd.upf
Cs 132.91 Cs.upf
CELL_PARAMETERS angstrom
8.298 0.000 0.000
0.000 6.793 0.000
0.000 -3.397 7.507
ATOMIC_POSITIONS angstrom
Na 2.075 0.000 5.608
Tl 6.224 3.397 5.350
Tl 0.000 5.031 0.000
Tl 4.149 5.031 0.000
Pd 6.224 0.000 0.667
Cs 2.075 3.397 3.478
Tl 2.075 0.000 2.157
Tl 0.000 1.762 0.000
Cs 6.224 0.000 4.029
Na 6.224 3.397 1.899
Pd 2.075 3.397 6.840
Tl 4.149 1.762 0.000